[1]
# Bi2SI2

An optimized crystal structure of Bi2SI2 (PBE, the Alexandria database).

Output
The symmetry is I4/mmm (139). Its offset from the most stable computed form is 0.511 eV per atom. For the raw formation energy, the calculation gives 0.4835 eV/atom. The total magnetization comes out at 0.00 μB per cell.

a b c (Å): 5.0076 5.0076 8.0576
angles (deg): 71.90 71.90 90.00
Sites, in units of the cell vectors:
1 Bi 0.6039 0.6039 0.7921
2 Bi 0.3961 0.3961 0.2079
3 I 0.7500 0.2500 0.5000
4 I 0.2500 0.7500 0.5000
5 S 0.0000 0.0000 0.0000

[2]
# BiS2I

An optimized crystal structure of BiS2I (PBE, the Alexandria database).

Output
The symmetry is I-42d (122). Its offset from the most stable computed form is 0.362 eV per atom. For the raw formation energy, the calculation gives 0.2283 eV/atom. The total magnetization comes out at 0.00 μB per cell.

a b c (Å): 7.6697 7.6697 6.7860
angles (deg): 55.59 55.59 90.00
Sites, in units of the cell vectors:
1 I 0.2500 0.7500 0.5000
2 I 0.5000 0.5000 0.0000
3 Bi 0.7500 0.2500 0.5000
4 Bi 0.0000 0.0000 0.0000
5 S 0.6659 0.1250 0.2500
6 S 0.0841 0.6250 0.2500
7 S 0.3750 0.3341 0.7500
8 S 0.8750 0.9159 0.7500

[3]
# Bi3S3I

An optimized crystal structure of Bi3S3I (PBE, the Alexandria database).

Output
The symmetry is R-3 (148). For the raw formation energy, the calculation gives -0.2008 eV/atom. The total magnetization comes out at 0.00 μB per cell.

a b c (Å): 8.0995 8.0995 9.4844
angles (deg): 64.72 64.72 60.00
Sites, in units of the cell vectors:
1 Bi 0.8518 0.1739 0.3149
2 Bi 0.6594 0.8518 0.3149
3 Bi 0.3406 0.1482 0.6851
4 Bi 0.8261 0.3406 0.6851
5 Bi 0.1739 0.6594 0.3149
6 Bi 0.1482 0.8261 0.6851
7 I 0.6510 0.6510 0.0469
8 I 0.3490 0.3490 0.9531
9 S 0.7572 0.0710 0.6317
10 S 0.0710 0.5402 0.6317
11 S 0.5402 0.7572 0.6317
12 S 0.2428 0.9290 0.3683
13 S 0.4598 0.2428 0.3683
14 S 0.9290 0.4598 0.3683

[4]
# Bi4S5I2

An optimized crystal structure of Bi4S5I2 (PBE, the Alexandria database).

Output
The symmetry is C2/m (12). For the raw formation energy, the calculation gives -0.2572 eV/atom. The total magnetization comes out at 0.00 μB per cell.

a b c (Å): 7.1913 8.4903 7.9561
angles (deg): 123.00 90.00 115.06
Sites, in units of the cell vectors:
1 Bi 0.6950 0.3900 0.5596
2 Bi 0.3961 0.7921 0.0318
3 Bi 0.3050 0.6100 0.4404
4 Bi 0.6039 0.2079 0.9682
5 S 0.6233 0.7693 0.7541
6 S 0.8540 0.2307 0.2459
7 S 0.3767 0.2307 0.2459
8 S 0.5000 0.0000 0.5000
9 S 0.1460 0.7693 0.7541
10 I 0.1584 0.3169 0.8489
11 I 0.8416 0.6831 0.1511

[5]
# BiS3I

An optimized crystal structure of BiS3I (PBE, the Alexandria database).

Output
The symmetry is Pm-3m (221). Its offset from the most stable computed form is 0.061 eV per atom. For the raw formation energy, the calculation gives 0.7606 eV/atom. The total magnetization comes out at 0.00 μB per cell.

a b c (Å): 5.0970 5.0970 5.0970
angles (deg): 90.00 90.00 90.00
Sites, in units of the cell vectors:
1 S 0.0000 0.5000 0.0000
2 S 0.5000 0.0000 0.0000
3 S 0.0000 0.0000 0.5000
4 I 0.0000 0.0000 0.0000
5 Bi 0.5000 0.5000 0.5000

[6]
# Bi2SI2

An optimized crystal structure of Bi2SI2 (PBE, the Alexandria database).

Output
The symmetry is P4/mbm (127). Its offset from the most stable computed form is 0.000 eV per atom. For the raw formation energy, the calculation gives -0.0276 eV/atom. The total magnetization comes out at 0.00 μB per cell.

a b c (Å): 7.6902 7.6902 5.3717
angles (deg): 90.00 90.00 90.00
Sites, in units of the cell vectors:
1 Bi 0.6681 0.1681 0.0000
2 Bi 0.3319 0.8319 0.0000
3 Bi 0.8319 0.6681 0.0000
4 Bi 0.1681 0.3319 0.0000
5 I 0.6738 0.8262 0.5000
6 I 0.8262 0.3262 0.5000
7 I 0.3262 0.1738 0.5000
8 I 0.1738 0.6738 0.5000
9 S 0.0000 0.0000 0.0000
10 S 0.5000 0.5000 0.0000

[7]
# BiSb2SI

An optimized crystal structure of BiSb2SI (PBE, the Alexandria database).

Output
The symmetry is P4/mmm (123). Its offset from the most stable computed form is 0.000 eV per atom. For the raw formation energy, the calculation gives 0.4986 eV/atom. The total magnetization comes out at 0.00 μB per cell.

a b c (Å): 5.3059 5.3059 5.4857
angles (deg): 90.00 90.00 90.00
Sites, in units of the cell vectors:
1 Sb 0.0000 0.5000 0.0000
2 Sb 0.5000 0.0000 0.0000
3 S 0.0000 0.0000 0.0000
4 I 0.0000 0.0000 0.5000
5 Bi 0.5000 0.5000 0.5000

[8]
# BiSb2SI

An optimized crystal structure of BiSb2SI (PBE, the Alexandria database).

Output
The symmetry is P4/mmm (123). Its offset from the most stable computed form is 0.531 eV per atom. For the raw formation energy, the calculation gives 1.0294 eV/atom. The total magnetization comes out at 0.57 μB per cell.

a b c (Å): 5.9775 5.9775 5.9606
angles (deg): 90.00 90.00 90.00
Each line ends with the local moment (μB).
Sites, in units of the cell vectors:
1 Sb 0.0000 0.5000 0.0000  0.32
2 Sb 0.5000 0.0000 0.0000  0.32
3 S 0.5000 0.5000 0.5000  -0.67
4 I 0.0000 0.0000 0.5000  0.07
5 Bi 0.0000 0.0000 0.0000  -0.03

[9]
# BiSbSI2

An optimized crystal structure of BiSbSI2 (PBE, the Alexandria database).

Output
The symmetry is P4/mmm (123). Its offset from the most stable computed form is 0.286 eV per atom. For the raw formation energy, the calculation gives 0.7823 eV/atom. The total magnetization comes out at 0.00 μB per cell.

a b c (Å): 5.9212 5.9212 6.2393
angles (deg): 90.00 90.00 90.00
Sites, in units of the cell vectors:
1 Sb 0.0000 0.0000 0.5000
2 S 0.5000 0.5000 0.5000
3 Bi 0.0000 0.0000 0.0000
4 I 0.5000 0.0000 0.0000
5 I 0.0000 0.5000 0.0000

[10]
# BiSbSI2

An optimized crystal structure of BiSbSI2 (PBE, the Alexandria database).

Output
The symmetry is P4/mmm (123). Its offset from the most stable computed form is 0.000 eV per atom. For the raw formation energy, the calculation gives 0.4960 eV/atom. The total magnetization comes out at 0.00 μB per cell.

a b c (Å): 5.5295 5.5295 5.3607
angles (deg): 90.00 90.00 90.00
Sites, in units of the cell vectors:
1 I 0.0000 0.5000 0.0000
2 I 0.5000 0.0000 0.0000
3 Sb 0.0000 0.0000 0.5000
4 S 0.0000 0.0000 0.0000
5 Bi 0.5000 0.5000 0.5000

[11]
# Tc2BiSI

An optimized crystal structure of Tc2BiSI (PBE, the Alexandria database).

Output
The symmetry is P4/mmm (123). For the raw formation energy, the calculation gives 2.0587 eV/atom. The total magnetization comes out at 7.79 μB per cell.

a b c (Å): 5.4417 5.9095 5.4417
angles (deg): 90.00 90.00 90.00
Each line ends with the local moment (μB).
Sites, in units of the cell vectors:
1 Tc 0.5000 0.0000 0.0000  3.19
2 Tc 0.0000 0.0000 0.5000  3.28
3 Bi 0.0000 0.0000 0.0000  -0.13
4 S 0.5000 0.5000 0.5000  0.07
5 I 0.0000 0.5000 0.0000  0.14

[12]
# BiTeSI2

An optimized crystal structure of BiTeSI2 (PBE, the Alexandria database).

Output
The symmetry is P4/mmm (123). Its offset from the most stable computed form is 0.000 eV per atom. For the raw formation energy, the calculation gives 0.4281 eV/atom. The total magnetization comes out at 0.00 μB per cell.

a b c (Å): 5.5067 5.5067 5.3911
angles (deg): 90.00 90.00 90.00
Sites, in units of the cell vectors:
1 I 0.0000 0.5000 0.0000
2 I 0.5000 0.0000 0.0000
3 Te 0.0000 0.0000 0.5000
4 Bi 0.5000 0.5000 0.5000
5 S 0.0000 0.0000 0.0000

[13]
# BiTe2SI

An optimized crystal structure of BiTe2SI (PBE, the Alexandria database).

Output
The symmetry is P4/mmm (123). Its offset from the most stable computed form is 0.420 eV per atom. For the raw formation energy, the calculation gives 0.8091 eV/atom. The total magnetization comes out at 3.80 μB per cell.

a b c (Å): 6.0614 6.0614 6.0875
angles (deg): 90.00 90.00 90.00
Each line ends with the local moment (μB).
Sites, in units of the cell vectors:
1 Bi 0.0000 0.0000 0.0000  -0.01
2 I 0.0000 0.0000 0.5000  0.11
3 Te 0.5000 0.0000 0.0000  0.49
4 Te 0.0000 0.5000 0.0000  0.49
5 S 0.5000 0.5000 0.5000  1.11

[14]
# BiTe2SI

An optimized crystal structure of BiTe2SI (PBE, the Alexandria database).

Output
The symmetry is P4/mmm (123). Its offset from the most stable computed form is 0.000 eV per atom. For the raw formation energy, the calculation gives 0.3893 eV/atom. The total magnetization comes out at 0.00 μB per cell.

a b c (Å): 5.2860 5.2860 5.5858
angles (deg): 90.00 90.00 90.00
Sites, in units of the cell vectors:
1 Te 0.0000 0.5000 0.0000
2 Te 0.5000 0.0000 0.0000
3 I 0.0000 0.0000 0.5000
4 Bi 0.5000 0.5000 0.5000
5 S 0.0000 0.0000 0.0000

[15]
# BiTeSI2

An optimized crystal structure of BiTeSI2 (PBE, the Alexandria database).

Output
The symmetry is P4/mmm (123). Its offset from the most stable computed form is 0.160 eV per atom. For the raw formation energy, the calculation gives 0.5878 eV/atom. The total magnetization comes out at 3.02 μB per cell.

a b c (Å): 6.0918 6.0918 6.1983
angles (deg): 90.00 90.00 90.00
Each line ends with the local moment (μB).
Sites, in units of the cell vectors:
1 I 0.0000 0.5000 0.0000  0.06
2 I 0.5000 0.0000 0.0000  0.06
3 Te 0.0000 0.0000 0.5000  0.53
4 S 0.5000 0.5000 0.5000  1.11
5 Bi 0.0000 0.0000 0.0000  -0.03

[16]
# Zn2BiSI

An optimized crystal structure of Zn2BiSI (PBE, the Alexandria database).

Output
The symmetry is P4/mmm (123). For the raw formation energy, the calculation gives 0.3082 eV/atom. The total magnetization comes out at 0.00 μB per cell.

a b c (Å): 5.6232 5.1221 5.6232
angles (deg): 90.00 90.00 90.00
Sites, in units of the cell vectors:
1 I 0.5000 0.5000 0.5000
2 Zn 0.0000 0.0000 0.5000
3 Zn 0.5000 0.0000 0.0000
4 Bi 0.0000 0.0000 0.0000
5 S 0.0000 0.5000 0.0000

[17]
# BiSbI3

An optimized crystal structure of BiSbI3 (PBE, the Alexandria database).

Output
The symmetry is Pm-3m (221). Its offset from the most stable computed form is 0.000 eV per atom. For the raw formation energy, the calculation gives 0.2535 eV/atom. The total magnetization comes out at 2.51 μB per cell.

a b c (Å): 6.0618 6.0618 6.0618
angles (deg): 90.00 90.00 90.00
Each line ends with the local moment (μB).
Sites, in units of the cell vectors:
1 I 0.5000 0.0000 0.0000  0.04
2 I 0.0000 0.0000 0.5000  0.02
3 I 0.0000 0.5000 0.0000  0.03
4 Sb 0.0000 0.0000 0.0000  0.03
5 Bi 0.5000 0.5000 0.5000  1.43

[18]
# Bi3SbI

An optimized crystal structure of Bi3SbI (PBE, the Alexandria database).

Output
The symmetry is Pm-3m (221). Its offset from the most stable computed form is 0.629 eV per atom. For the raw formation energy, the calculation gives 0.6187 eV/atom. The total magnetization comes out at 0.00 μB per cell.

a b c (Å): 5.9217 5.9217 5.9217
angles (deg): 90.00 90.00 90.00
Sites, in units of the cell vectors:
1 Bi 0.0000 0.5000 0.0000
2 Bi 0.5000 0.0000 0.0000
3 Bi 0.0000 0.0000 0.5000
4 I 0.5000 0.5000 0.5000
5 Sb 0.0000 0.0000 0.0000

[19]
# Bi2Sb2I

An optimized crystal structure of Bi2Sb2I (PBE, the Alexandria database).

Output
The symmetry is I4_1md (109). Its offset from the most stable computed form is 0.000 eV per atom. For the raw formation energy, the calculation gives -0.0042 eV/atom. The total magnetization comes out at 0.00 μB per cell.

a b c (Å): 7.4793 7.4793 8.6370
angles (deg): 115.66 115.66 90.00
Sites, in units of the cell vectors:
1 Sb 0.6667 0.8818 0.3335
2 Sb 0.6667 0.4516 0.3335
3 Sb 0.7016 0.4167 0.8335
4 Sb 0.1318 0.4167 0.8335
5 Bi 0.9788 0.2015 0.4031
6 Bi 0.4242 0.2015 0.4031
7 Bi 0.4515 0.7288 0.9031
8 Bi 0.4515 0.1742 0.9031
9 I 0.1941 0.6941 0.3882
10 I 0.9441 0.9441 0.8882

[20]
# Bi2SbI

An optimized crystal structure of Bi2SbI (PBE, the Alexandria database).

Output
The symmetry is Fm-3m (225). Its offset from the most stable computed form is 0.165 eV per atom. For the raw formation energy, the calculation gives 0.1853 eV/atom. The total magnetization comes out at 0.00 μB per cell.

a b c (Å): 5.5833 5.5833 5.5833
angles (deg): 60.00 60.00 60.00
Sites, in units of the cell vectors:
1 Sb 0.0000 0.0000 0.0000
2 Bi 0.2500 0.2500 0.2500
3 Bi 0.7500 0.7500 0.7500
4 I 0.5000 0.5000 0.5000

| no. | calculated volume (Å³/cell) |
| --- | --- |
| 1 | 181 |
| 2 | 240 |
| 3 | 469 |
| 4 | 352 |
| 5 | 132 |
| 6 | 318 |
| 7 | 154 |
| 8 | 213 |
| 9 | 219 |
| 10 | 164 |
| 11 | 175 |
| 12 | 163 |
| 13 | 224 |
| 14 | 156 |
| 15 | 230 |
| 16 | 162 |
| 17 | 223 |
| 18 | 208 |
| 19 | 382 |
| 20 | 123 |